A plane-wave DFT calculation with SCAN was carried out for a crystal of CaSe2NCl relaxed with PBEsol.

Cell and atoms, written as POSCAR:
```
CaSe2NCl
1.0
-3.167 1.549 2.890
-1.472 -5.314 1.235
3.789 -0.076 4.192
N Cl Se Ca
1 1 2 1
Direct
0.500 0.000 0.000 N
0.500 0.500 0.500 Cl
0.000 0.500 0.000 Se
0.000 0.000 0.500 Se
0.000 0.000 0.000 Ca
```

DFT total energy: -12.83 eV per atom
SG: No. 123
total magnetization: 6.00 Bohr magnetons per cell

=====

A plane-wave DFT calculation with SCAN was carried out for a crystal of LaMg2Tl relaxed with PBEsol.

Cell and atoms, written as POSCAR:
```
LaMg2Tl
1.0
-4.943 0.995 -1.540
-3.919 -3.199 1.486
-3.570 1.659 3.507
La Mg Tl
1 2 1
Direct
0.250 0.250 0.250 La
0.750 0.750 0.750 Mg
0.500 0.500 0.500 Mg
0.000 0.000 0.000 Tl
```

energy above the lowest structure with this stoichiometry: 0.000 eV/atom
ΔH_f (0 K): -1.34 eV per formula unit
SG: No. 216
total magnetization: 0.02 Bohr magnetons per cell

=====

A plane-wave DFT calculation with SCAN was carried out for a crystal of YTaIn2 relaxed with PBEsol.

Cell and atoms, written as POSCAR:
```
YTaIn2
1.0
3.197 0.000 0.000
0.000 5.300 -0.090
-1.599 -2.685 5.211
Y In Ta
1 2 1
Direct
0.756 0.192 0.511 Y
0.995 0.063 0.991 In
0.243 0.667 0.487 In
0.506 0.578 0.011 Ta
```

ΔH_f (0 K): 0.06 eV per formula unit
SG: No. 8
total magnetization: 0.00 Bohr magnetons per cell

=====

A plane-wave DFT calculation with SCAN was carried out for a crystal of Ca2ReMoAs relaxed with PBEsol.

Cell and atoms, written as POSCAR:
```
Ca2ReMoAs
1.0
4.582 0.000 0.000
0.000 5.303 0.000
0.000 0.000 5.303
Ca As Mo Re
2 1 1 1
Direct
0.000 0.500 0.000 Ca
0.000 0.000 0.500 Ca
0.000 0.000 0.000 As
0.500 0.500 0.500 Mo
0.500 0.000 0.000 Re
```

ΔH_f (0 K): 4.29 eV per formula unit
SG: No. 123
total magnetization: 3.12 Bohr magnetons per cell